(1)
## NiRu2Pt (GGA-PBE)

Data for a relaxed structure of NiRu2Pt.

## Properties
As for the polymorph energy (0 for the lowest one): 0.85 kcal/mol of atoms. For the total magnetic moment, the calculation gives 0.00 μB/f.u. The value obtained for the formation energy is 0.039 eV per atom. The space group is I-4m2.

a = 4.6682 Å, b = 4.6682 Å, c = 4.6675 Å
α = 132.22°, β = 132.22°, γ = 69.91°
Last column: nearest neighbours and their distance in Å.
Fractional positions:
Ru: 0.7496 0.2503 0.5000  4 Pt 2.67-2.68, 4 Ru 2.69, 4 Ni 2.69
Ru: 0.0004 0.9997 0.0000  4 Ni 2.67-2.68, 4 Ru 2.69, 4 Pt 2.69
Ni: 0.4999 0.5002 0.0000  8 Ru 2.67-2.69, 4 Pt 2.69
Pt: 0.2502 0.7498 0.5000  8 Ru 2.67-2.69, 4 Ni 2.69

(2)
## PmAsIr (GGA-PBE)

Data for a relaxed structure of PmAsIr.

## Properties
As for the polymorph energy (0 for the lowest one): 11.09 kcal/mol of atoms. For the total magnetic moment, the calculation gives 0.00 μB/f.u. The value obtained for the formation energy is -0.447 eV per atom. The space group is I4mm.

a = 3.3723 Å, b = 3.3723 Å, c = 5.8650 Å
α = 106.71°, β = 106.71°, γ = 90.00°
Last column: nearest neighbours and their distance in Å.
Fractional positions:
Pm: 0.0067 0.0067 0.0133  5 As 3.11-3.28, 5 Ir 3.13-3.33, 4 Pm 3.37
Ir: 0.6962 0.6962 0.3924  4 As 2.62
As: 0.2971 0.2971 0.5942  4 Ir 2.62

(3)
## Ca2Ta (GGA-PBE)

Data for a relaxed structure of Ca2Ta.

## Properties
As for the polymorph energy (0 for the lowest one): 8.31 kcal/mol of atoms. For the total magnetic moment, the calculation gives 0.01 μB/f.u. The value obtained for the formation energy is 0.820 eV per atom. The space group is Cmcm.

a = 9.3830 Å, b = 9.3830 Å, c = 5.7229 Å
α = 90.00°, β = 90.00°, γ = 161.24°
Last column: nearest neighbours and their distance in Å.
Fractional positions:
Ca: 0.2184 0.7816 0.2500  2 Ca 3.06
Ca: 0.5470 0.4530 0.2500  4 Ca 3.06-3.35, 2 Ta 3.38
Ca: 0.4530 0.5470 0.7500  4 Ca 3.06-3.35, 2 Ta 3.38
Ca: 0.7816 0.2184 0.7500  2 Ca 3.06
Ta: 0.1156 0.8844 0.7500  2 Ta 3.06, 2 Ca 3.38
Ta: 0.8844 0.1156 0.2500  2 Ta 3.06, 2 Ca 3.38

(4)
## Er14HfSc (GGA-PBE)

Data for a relaxed structure of Er14HfSc.

## Properties
For the total magnetic moment, the calculation gives 0.00 μB/f.u. The value obtained for the formation energy is 0.051 eV per atom. The space group is P4/mmm.

a = 6.9311 Å, b = 6.9311 Å, c = 9.7731 Å
α = 90.00°, β = 90.00°, γ = 90.00°
Last column: nearest neighbours and their distance in Å.
Fractional positions:
Hf: 0.8750 0.1250 0.0000  12 Er 3.38-3.47
Sc: 0.3749 0.6251 0.0000  12 Er 3.43-3.47
Er: 0.3749 0.1249 0.5000  12 Er 3.47-3.51
Er: 0.3751 0.1251 0.0000  8 Er 3.41, 2 Sc 3.47, 2 Hf 3.47
Er: 0.1216 0.3716 0.7574  1 Hf 3.39, 10 Er 3.41-3.54, 1 Sc 3.43
Er: 0.1215 0.8785 0.7575  1 Hf 3.38, 10 Er 3.41-3.54, 1 Sc 3.43
Er: 0.6284 0.8784 0.7574  1 Hf 3.39, 10 Er 3.41-3.54, 1 Sc 3.43
Er: 0.3751 0.6249 0.5000  12 Er 3.47-3.54
Er: 0.6285 0.3715 0.2426  1 Hf 3.39, 10 Er 3.41-3.53, 1 Sc 3.43
Er: 0.6285 0.3715 0.7574  1 Hf 3.39, 10 Er 3.41-3.53, 1 Sc 3.43
Er: 0.8751 0.6251 0.5000  12 Er 3.47-3.51
Er: 0.6284 0.8784 0.2426  1 Hf 3.39, 10 Er 3.41-3.54, 1 Sc 3.43
Er: 0.1215 0.8785 0.2425  1 Hf 3.38, 10 Er 3.41-3.54, 1 Sc 3.43
Er: 0.1216 0.3716 0.2426  1 Hf 3.39, 10 Er 3.41-3.54, 1 Sc 3.43
Er: 0.8749 0.6249 0.0000  8 Er 3.41, 2 Sc 3.47, 2 Hf 3.47
Er: 0.8749 0.1251 0.5000  12 Er 3.47-3.49

(5)
## K2LiY (GGA-PBE)

Data for a relaxed structure of K2LiY.

## Properties
For the total magnetic moment, the calculation gives 0.33 μB/f.u. The value obtained for the formation energy is 0.299 eV per atom. The space group is P4mm.

a = 3.8740 Å, b = 3.8740 Å, c = 11.5930 Å
α = 90.00°, β = 90.00°, γ = 90.02°
Last column: nearest neighbours and their distance in Å.
Fractional positions:
K: 0.0000 0.0000 0.9669  4 K 3.87, 4 Y 4.25
K: 0.5000 0.5000 0.3152  4 Li 3.71-3.72, 4 K 3.87
Li: 0.0000 0.0000 0.5317  4 Y 3.27
Y: 0.5000 0.5000 0.6861  4 Li 3.27

(6)
## TbPm2Ho3Se6 (GGA-PBE)

Data for a relaxed structure of TbPm2Ho3Se6.

## Properties
The value obtained for the uncorrected formation energy is -1770 meV/atom. For the total magnetic moment, the calculation gives 0.00 μB/f.u. The space group is C2/m.

a = 4.0840 Å, b = 8.2813 Å, c = 9.2072 Å
α = 103.78°, β = 102.81°, γ = 90.00°
Last column: nearest neighbours and their distance in Å.
Fractional positions:
Ho: 0.1688 0.8335 0.3376  6 Se 2.85-2.88
Ho: 0.5000 0.5000 0.0000  6 Se 2.84-2.89
Ho: 0.8312 0.1665 0.6624  6 Se 2.85-2.88
Se: 0.6665 0.0745 0.3329  3 Ho 2.86-2.87, 1 Tb 2.90, 2 Pm 2.97
Se: 0.0033 0.7492 0.0066  3 Ho 2.88-2.89, 2 Tb 2.92, 1 Pm 2.98
Se: 0.6631 0.5909 0.3262  3 Ho 2.84-2.85, 3 Pm 2.95-2.96
Se: 0.9967 0.2508 0.9934  3 Ho 2.88-2.89, 2 Tb 2.92, 1 Pm 2.98
Se: 0.3335 0.9255 0.6671  3 Ho 2.86-2.87, 1 Tb 2.90, 2 Pm 2.97
Se: 0.3369 0.4091 0.6738  3 Ho 2.84-2.85, 3 Pm 2.95-2.96
Tb: 0.5000 0.0000 0.0000  6 Se 2.90-2.92
Pm: 0.1679 0.3355 0.3357  6 Se 2.95-2.98
Pm: 0.8321 0.6645 0.6643  6 Se 2.95-2.98

(7)
## Pm2HoN3 (GGA-PBE)

Data for a relaxed structure of Pm2HoN3.

## Properties
The value obtained for the uncorrected formation energy is -1516 meV/atom. For the total magnetic moment, the calculation gives 0.00 μB/f.u. The space group is I4/mmm.

a = 3.5656 Å, b = 3.5656 Å, c = 7.9679 Å
α = 102.93°, β = 102.93°, γ = 89.98°
Last column: nearest neighbours and their distance in Å.
Fractional positions:
Pm: 0.0982 0.0999 0.2020  6 N 2.48-2.64
Pm: 0.7701 0.7719 0.5459  6 N 2.48-2.64
Ho: 0.4343 0.4357 0.8740  6 N 2.44-2.52
N: 0.5960 0.5971 0.1972  1 Ho 2.44, 5 Pm 2.52-2.64
N: 0.9341 0.9358 0.8739  2 Pm 2.48, 4 Ho 2.52
N: 0.2727 0.2738 0.5507  1 Ho 2.44, 5 Pm 2.52-2.64

(8)
## Ac3BiO6F2 (GGA-PBE)

Data for a relaxed structure of Ac3BiO6F2.

## Properties
The value obtained for the uncorrected formation energy is -2596 meV/atom. For the total magnetic moment, the calculation gives 0.00 μB/f.u. The space group is C2/m.

a = 5.1927 Å, b = 7.2215 Å, c = 7.2567 Å
α = 119.84°, β = 87.45°, γ = 90.00°
Last column: nearest neighbours and their distance in Å.
Fractional positions:
Ac: 0.5000 0.5000 0.5000  4 O 2.42-2.50, 2 F 2.53
Ac: 0.5000 0.0000 0.5000  4 O 2.42-2.50, 2 F 2.53
Ac: 0.0000 0.5000 0.0000  2 F 2.53, 4 O 2.54
F: 0.7796 0.3253 0.6506  3 Ac 2.53
F: 0.2204 0.6747 0.3494  3 Ac 2.53
O: 0.2977 0.1565 0.3130  1 Bi 2.18, 2 Ac 2.42
O: 0.2837 0.1672 0.8640  1 Bi 2.23
O: 0.7023 0.8435 0.6870  1 Bi 2.18, 2 Ac 2.42
O: 0.7163 0.3032 0.1360  1 Bi 2.23
O: 0.2837 0.6968 0.8640  1 Bi 2.23
O: 0.7163 0.8328 0.1360  1 Bi 2.23
Bi: 0.5000 0.0000 0.0000  6 O 2.18-2.23

(9)
## BeAsPb2 (GGA-PBE)

Data for a relaxed structure of BeAsPb2.

## Properties
As for the polymorph energy (0 for the lowest one): 0.00 kcal/mol of atoms. For the total magnetic moment, the calculation gives 0.00 μB/f.u. The value obtained for the formation energy is 0.182 eV per atom. The space group is Pm.

a = 3.7576 Å, b = 5.1870 Å, c = 5.4573 Å
α = 63.80°, β = 90.00°, γ = 90.00°
Last column: nearest neighbours and their distance in Å.
Fractional positions:
Pb: 0.5000 0.2665 0.2847  2 Be 2.88-2.90
Pb: 0.0000 0.9475 0.9390  2 Be 2.86, 2 As 3.05-3.07
Be: 0.5000 0.6907 0.7177  2 As 2.22
As: 0.0000 0.5953 0.5587  2 Be 2.22

(10)
## La2MgCoAu (GGA-PBE)

Data for a relaxed structure of La2MgCoAu.

## Properties
As for the polymorph energy (0 for the lowest one): 0.00 kcal/mol of atoms. For the total magnetic moment, the calculation gives 0.00 μB/f.u. The value obtained for the formation energy is -0.295 eV per atom. The space group is P4/mmm.

a = 5.1886 Å, b = 5.1886 Å, c = 4.9202 Å
α = 90.00°, β = 90.00°, γ = 90.00°
Last column: nearest neighbours and their distance in Å.
Fractional positions:
Au: 0.5000 0.5000 0.5000  8 La 3.58, 4 Mg 3.67
Mg: 0.0000 0.0000 0.5000  2 Co 2.46
Co: 0.0000 0.0000 0.0000  2 Mg 2.46, 4 La 2.59
La: 0.5000 0.0000 0.0000  2 Co 2.59
La: 0.0000 0.5000 0.0000  2 Co 2.59

(11)
## HfZr2O6 (GGA-PBE)

Data for a relaxed structure of HfZr2O6.

## Properties
The value obtained for the uncorrected formation energy is -3235 meV/atom. For the total magnetic moment, the calculation gives 0.00 μB/f.u. The space group is C2/m.

a = 3.8167 Å, b = 5.7094 Å, c = 6.8111 Å
α = 118.40°, β = 90.00°, γ = 109.53°
Last column: nearest neighbours and their distance in Å.
Fractional positions:
Hf: 0.0000 0.0000 0.5000  6 O 2.09-2.26
O: 0.7483 0.4965 0.1299  3 Zr 2.05-2.29
O: 0.0187 0.0373 0.2090  2 Zr 2.04-2.24, 1 Hf 2.09
O: 0.9813 0.9627 0.7910  2 Zr 2.04-2.24, 1 Hf 2.09
O: 0.3722 0.7445 0.4328  1 Zr 2.03, 2 Hf 2.26
O: 0.6278 0.2555 0.5672  1 Zr 2.03, 2 Hf 2.26
O: 0.2517 0.5035 0.8701  3 Zr 2.05-2.29
Zr: 0.8191 0.6382 0.8646  5 O 2.03-2.24
Zr: 0.1809 0.3618 0.1354  5 O 2.03-2.24

(12)
## SmHoEr (GGA-PBE)

Data for a relaxed structure of SmHoEr.

## Properties
As for the polymorph energy (0 for the lowest one): 0.28 kcal/mol of atoms. For the total magnetic moment, the calculation gives 0.00 μB/f.u. The value obtained for the formation energy is 0.022 eV per atom. The space group is I4mm.

a = 3.5486 Å, b = 3.5486 Å, c = 7.9581 Å
α = 102.88°, β = 102.88°, γ = 90.00°
Last column: nearest neighbours and their distance in Å.
Fractional positions:
Er: 0.3321 0.3321 0.6642  4 Ho 3.52, 4 Er 3.55, 4 Sm 3.56
Ho: 0.6682 0.6682 0.3364  4 Er 3.52, 4 Ho 3.55, 4 Sm 3.57
Sm: 0.9997 0.9997 0.9995  4 Sm 3.55, 4 Er 3.56, 4 Ho 3.57

(13)
## Th2ZnPt (GGA-PBE)

Data for a relaxed structure of Th2ZnPt.

## Properties
For the total magnetic moment, the calculation gives 0.00 μB/f.u. The value obtained for the formation energy is -0.669 eV per atom. The space group is Amm2.

a = 4.4228 Å, b = 3.8875 Å, c = 6.0531 Å
α = 108.73°, β = 90.00°, γ = 90.00°
Last column: nearest neighbours and their distance in Å.
Fractional positions:
Zn: 0.5000 0.5530 0.1060  2 Pt 2.76, 4 Th 3.07
Pt: 0.0000 0.6973 0.3945  2 Zn 2.76, 4 Th 3.06
Th: 0.0000 0.9777 0.9554  4 Zn 3.07, 3 Pt 3.18-3.22
Th: 0.5000 0.2713 0.5426  4 Pt 3.06, 3 Zn 3.17-3.23